VASP calculation (PBE) on a geometry-optimized Ti6Ga3Fe structure.

Cell: 5.0462 7.3407 10.1355 Å, 90.00 118.45 90.00°
Space group P2_1/c (No. 14)
Unique sites:
Ti: 0.0370 0.1621 0.4472 x4
Ti: 0.3682 0.6853 0.4426 x4
Ti: 0.4194 0.0465 0.2657 x4
Ga: 0.0000 0.0000 0.0000 x2
Ga: 0.1254 0.1174 0.7536 x4
Fe: 0.5000 0.0000 0.5000 x2

Values from the calculation:
For the density, the calculation gives 5.56 g/cm3. The value obtained for the total moment is 0.000 μB per formula unit. For the uncorrected energy, the calculation gives -6.69 eV/atom. As for the calculated formation energy: -0.20 eV per atom.